Entry 1:
BeTe2Mo: relaxed, PBE. Values from VASP.

Density, g cm⁻³: 6.61
Space-group type: Imm2 (44)
Energy relative to the elements, uncorrected, eV per atom: 0.092
DOS at the Fermi energy, states/eV per atom: 0.7577

The structure in Quantum ESPRESSO input format:
```
&SYSTEM
  ibrav = 0, nat = 4, ntyp = 3
/
ATOMIC_SPECIES
Be 9.01 Be.upf
Te 127.60 Te.upf
Mo 95.94 Mo.upf
ATOMIC_POSITIONS crystal
Be 0.000 0.000 0.000
Te 0.539 0.539 0.000
Te 0.792 0.292 0.500
Mo 0.386 0.886 0.500
CELL_PARAMETERS angstrom
-1.749 1.756 7.367
1.749 -1.756 7.367
1.749 1.756 -7.367
```



Entry 2:
TbDyIrPb: relaxed, PBE. Values from VASP.

Density, g cm⁻³: 12.43
Space-group type: F-43m (216)
Energy of formation, eV per atom: -0.48
DOS at the Fermi energy, states/eV per atom: 0.9084

The structure in Quantum ESPRESSO input format:
```
&SYSTEM
  ibrav = 0, nat = 4, ntyp = 4
/
ATOMIC_SPECIES
Tb 158.93 Tb.upf
Dy 162.50 Dy.upf
Ir 192.22 Ir.upf
Pb 207.20 Pb.upf
ATOMIC_POSITIONS crystal
Tb 0.000 0.000 0.000
Dy 0.500 0.500 0.500
Ir 0.750 0.750 0.750
Pb 0.250 0.250 0.250
CELL_PARAMETERS angstrom
0.000 3.638 3.638
3.638 0.000 3.638
3.638 3.638 0.000
```



Entry 3:
CsBeRe3: relaxed, PBE. Values from VASP.

Density, g cm⁻³: 9.85
Space-group type: Pm-3m (221)
Energy of formation, eV per atom: 4.42
DOS at the Fermi energy, states/eV per atom: 1.5443

The structure in Quantum ESPRESSO input format:
```
&SYSTEM
  ibrav = 0, nat = 5, ntyp = 3
/
ATOMIC_SPECIES
Cs 132.91 Cs.upf
Be 9.01 Be.upf
Re 186.21 Re.upf
ATOMIC_POSITIONS crystal
Cs 0.000 0.000 0.000
Be 0.500 0.500 0.500
Re 0.000 0.000 0.500
Re 0.000 0.500 0.000
Re 0.500 0.000 0.000
CELL_PARAMETERS angstrom
4.906 0.000 0.000
0.000 4.906 0.000
0.000 0.000 4.906
```



Entry 4:
TlIn3Tc: relaxed, PBE. Values from VASP.

Density, g cm⁻³: 7.41
Space-group type: Pm-3m (221)
Energy of formation, eV per atom: 0.20
DOS at the Fermi energy, states/eV per atom: 0.5728

The structure in Quantum ESPRESSO input format:
```
&SYSTEM
  ibrav = 0, nat = 5, ntyp = 3
/
ATOMIC_SPECIES
Tl 204.38 Tl.upf
In 114.82 In.upf
Tc 98.00 Tc.upf
ATOMIC_POSITIONS crystal
Tl 0.000 0.000 0.000
In 0.000 0.500 0.500
In 0.500 0.000 0.500
In 0.500 0.500 0.000
Tc 0.500 0.500 0.500
CELL_PARAMETERS angstrom
5.253 0.000 0.000
0.000 5.253 0.000
0.000 0.000 5.253
```



Entry 5:
NaMn3Cl9: relaxed, PBE. Values from VASP.

Density, g cm⁻³: 1.96
Space-group type: Cc (9)
Energy relative to the elements, uncorrected, eV per atom: -1.037
DOS at the Fermi energy, states/eV per atom: 0.0737

The structure in Quantum ESPRESSO input format:
```
&SYSTEM
  ibrav = 0, nat = 26, ntyp = 3
/
ATOMIC_SPECIES
Na 22.99 Na.upf
Mn 54.94 Mn.upf
Cl 35.45 Cl.upf
ATOMIC_POSITIONS crystal
Na 0.215 0.785 0.500
Na 0.785 0.215 0.000
Mn 0.191 0.314 0.758
Mn 0.314 0.191 0.258
Mn 0.546 0.707 0.318
Mn 0.707 0.546 0.818
Mn 0.715 0.982 0.160
Mn 0.982 0.715 0.660
Cl 0.027 0.386 0.862
Cl 0.075 0.167 0.573
Cl 0.089 0.847 0.675
Cl 0.167 0.075 0.073
Cl 0.240 0.415 0.679
Cl 0.287 0.428 0.429
Cl 0.346 0.695 0.318
Cl 0.386 0.027 0.362
Cl 0.415 0.240 0.179
Cl 0.428 0.287 0.929
Cl 0.566 0.694 0.684
Cl 0.627 0.776 0.000
Cl 0.694 0.566 0.184
Cl 0.695 0.346 0.818
Cl 0.776 0.627 0.500
Cl 0.847 0.089 0.175
Cl 0.866 0.868 0.318
Cl 0.868 0.866 0.818
CELL_PARAMETERS angstrom
9.724 -4.173 0.000
9.724 4.173 0.000
-8.377 0.000 10.573
```



Entry 6:
Pm4TmSc5: relaxed, PBE. Values from VASP.

Density, g cm⁻³: 5.40
Space-group type: I4mm (107)
Energy of formation, eV per atom: 0.23
DOS at the Fermi energy, states/eV per atom: 1.3932

The structure in Quantum ESPRESSO input format:
```
&SYSTEM
  ibrav = 0, nat = 10, ntyp = 3
/
ATOMIC_SPECIES
Pm 145.00 Pm.upf
Tm 168.93 Tm.upf
Sc 44.96 Sc.upf
ATOMIC_POSITIONS crystal
Pm 0.000 0.320 0.320
Pm 0.000 0.680 0.680
Pm 0.320 0.000 0.320
Pm 0.680 0.000 0.680
Tm 0.743 0.743 0.000
Sc 0.229 0.229 0.000
Sc 0.285 0.285 0.622
Sc 0.285 0.663 0.000
Sc 0.663 0.285 0.000
Sc 0.663 0.663 0.378
CELL_PARAMETERS angstrom
-5.150 5.150 2.822
5.150 -5.150 2.822
5.150 5.150 -2.822
```



Please write out number 6 again, unchanged.
Pm4TmSc5: relaxed, PBE. Values from VASP.

Density, g cm⁻³: 5.40
Space-group type: I4mm (107)
Energy of formation, eV per atom: 0.23
DOS at the Fermi energy, states/eV per atom: 1.3932

The structure in Quantum ESPRESSO input format:
```
&SYSTEM
  ibrav = 0, nat = 10, ntyp = 3
/
ATOMIC_SPECIES
Pm 145.00 Pm.upf
Tm 168.93 Tm.upf
Sc 44.96 Sc.upf
ATOMIC_POSITIONS crystal
Pm 0.000 0.320 0.320
Pm 0.000 0.680 0.680
Pm 0.320 0.000 0.320
Pm 0.680 0.000 0.680
Tm 0.743 0.743 0.000
Sc 0.229 0.229 0.000
Sc 0.285 0.285 0.622
Sc 0.285 0.663 0.000
Sc 0.663 0.285 0.000
Sc 0.663 0.663 0.378
CELL_PARAMETERS angstrom
-5.150 5.150 2.822
5.150 -5.150 2.822
5.150 5.150 -2.822
```